Record 1
Below is an optimized crystal structure of CdHgSe2N, with properties calculated at the PBE-GGA level.

The structure belongs to space group P4/mmm (No. 123); the cell edges are 5.4379, 5.4379 and 4.1271 Å and the angles 90.00°, 90.00° and 90.00°. The inequivalent atoms are Cd at (0.0000, 0.0000, 0.0000), Hg at (0.5000, 0.5000, 0.5000), Se at (0.0000, 0.5000, 0.5000) and N at (0.5000, 0.5000, 0.0000).

As for the excess energy over the best structure of this formula in the dataset: 14 meV/atom.

Record 2
Below is an optimized crystal structure of Mo2Br, with properties calculated at the PBE-GGA level.

The structure belongs to space group P6/mmm (No. 191); the cell edges are 4.1183, 4.1183 and 4.5338 Å and the angles 90.00°, 90.00° and 120.00°. The inequivalent atoms are Mo at (0.3333, 0.6667, 0.0000) and Br at (0.0000, 0.0000, 0.5000).

As for the excess energy over the best structure of this formula in the dataset: 1268 meV/atom.

Record 3
Below is an optimized crystal structure of LaPrDy2Er2, with properties calculated at the PBE-GGA level.

The structure belongs to space group Pnnm (No. 58); the cell edges are 7.0169, 16.0873 and 3.5833 Å and the angles 90.00°, 90.00° and 90.00°. The inequivalent atoms are La at (0.0000, 0.0000, 0.0000), Pr at (0.0000, 0.5000, 0.5000), Dy at (0.2504, 0.1592, 0.5000) and Er at (0.2497, 0.3422, 0.0000).

Its final energy is -4.4922 eV per atom.

Record 4
Below is an optimized crystal structure of Sc2TlCr2, with properties calculated at the PBE-GGA level.

The structure belongs to space group P4/mbm (No. 127); the cell edges are 8.0097, 8.0097 and 3.2736 Å and the angles 90.00°, 90.00° and 90.00°. The inequivalent atoms are Sc at (0.1501, 0.3499, 0.0000), Tl at (0.0000, 0.0000, 0.0000) and Cr at (0.1399, 0.6399, 0.5000).

As for the excess energy over the best structure of this formula in the dataset: 263 meV/atom.

Record 5
Below is an optimized crystal structure of BaSbIO2, with properties calculated at the PBE-GGA level.

The structure belongs to space group P4/mmm (No. 123); the cell edges are 4.6009, 4.6009 and 5.8782 Å and the angles 90.00°, 90.00° and 90.00°. The inequivalent atoms are Ba at (0.0000, 0.0000, 0.0000), Sb at (0.5000, 0.5000, 0.5000), I at (0.5000, 0.5000, 0.0000) and O at (0.0000, 0.5000, 0.5000).

Its final energy is -4.4965 eV per atom.

Record 6
Below is an optimized crystal structure of AcCePmSb, with properties calculated at the PBE-GGA level.

The structure belongs to space group F-43m (No. 216); the cell edges are 7.9286, 7.9286 and 7.9286 Å and the angles 90.00°, 90.00° and 90.00°. The inequivalent atoms are Ac at (0.0000, 0.0000, 0.0000), Ce at (0.2500, 0.2500, 0.7500), Pm at (0.2500, 0.2500, 0.2500) and Sb at (0.0000, 0.0000, 0.5000).

Its final energy is -4.9620 eV per atom.

Record 7
Below is an optimized crystal structure of CdSiNi, with properties calculated at the PBE-GGA level.

The structure belongs to space group F-43m (No. 216); the cell edges are 6.0021, 6.0021 and 6.0021 Å and the angles 90.00°, 90.00° and 90.00°. The inequivalent atoms are Cd at (0.0000, 0.0000, 0.0000), Si at (0.2500, 0.2500, 0.2500) and Ni at (0.2500, 0.2500, 0.7500).

Its final energy is -3.4727 eV per atom.

Record 8
Below is an optimized crystal structure of BaYSc2, with properties calculated at the PBE-GGA level.

The structure belongs to space group Cmmm (No. 65); the cell edges are 7.2613, 9.7333 and 3.5888 Å and the angles 90.00°, 90.00° and 90.00°. The inequivalent atoms are Ba at (0.0000, 0.0000, 0.0000), Y at (0.0000, 0.5000, 0.0000) and Sc at (0.2500, 0.2500, 0.5000).

As for the excess energy over the best structure of this formula in the dataset: 125 meV/atom.